{
  "formula": "Ac3PrNd",
  "functional": "GGA-PBE",
  "state": "optimized geometry",
  "formation_energy_ev_per_atom": 0.03,
  "volume_a3_per_atom": 41.2,
  "dos_at_fermi_per_ev_cell": 18.17,
  "total_energy_ev_per_atom": -4.345,
  "lattice_angstrom": [[10.0464, -1.9471, 0.0000], [10.0464, 1.9471, 0.0000], [-2.8756, 0.0000, 10.5409]],
  "species": ["Ac", "Ac", "Ac", "Ac", "Ac", "Ac", "Pr", "Pr", "Nd", "Nd"],
  "fractional_positions": [[0.0014, 0.0014, 0.2395], [0.2008, 0.2008, 0.8488], [0.3982, 0.3982, 0.4542], [0.6018, 0.6018, 0.5458], [0.7992, 0.7992, 0.1512], [0.9986, 0.9986, 0.7605], [0.3970, 0.3970, 0.9460], [0.6030, 0.6030, 0.0540], [0.2006, 0.2006, 0.3501], [0.7994, 0.7994, 0.6499]]
}